# 1
Compound: As2H
Source: the Alexandria database
Functional: PBE-GGA
Structure: optimized geometry Values from VASP.

The space group is P-1 (2).

Quantum ESPRESSO input file:
```
&SYSTEM
  ibrav = 0, nat = 6, ntyp = 2
/
ATOMIC_SPECIES
As 74.92 As.upf
H 1.01 H.upf
CELL_PARAMETERS angstrom
3.8666 0.0000 0.0000
-0.9320 5.4732 0.0000
-0.9487 -1.5599 5.6744
ATOMIC_POSITIONS crystal
As 0.2056 0.3426 0.4784
As 0.2676 0.3052 0.8936
As 0.7323 0.6948 0.1064
As 0.7944 0.6574 0.5216
H 0.4383 0.8492 0.1438
H 0.5617 0.1508 0.8562
```


# 2
Compound: LuNiRhAu
Source: the Alexandria database
Functional: PBE-GGA
Structure: optimized geometry Values from VASP.

For the energy of formation from the pure elements, the calculation gives -0.45 eV per atom. The space group is F-43m (216). The value obtained for the density of states at the Fermi level is 0.763 states/eV/atom.

Quantum ESPRESSO input file:
```
&SYSTEM
  ibrav = 0, nat = 4, ntyp = 4
/
ATOMIC_SPECIES
Lu 174.97 Lu.upf
Ni 58.69 Ni.upf
Rh 102.91 Rh.upf
Au 196.97 Au.upf
CELL_PARAMETERS angstrom
0.0000 3.2148 3.2148
3.2148 0.0000 3.2148
3.2148 3.2148 0.0000
ATOMIC_POSITIONS crystal
Lu 0.0000 0.0000 0.0000
Ni 0.2500 0.2500 0.2500
Rh 0.7500 0.7500 0.7500
Au 0.5000 0.5000 0.5000
```


# 3
Compound: Cs2ZnO2
Source: the Alexandria database
Functional: PBE-GGA
Structure: optimized geometry Values from VASP.

The space group is P2_1/c (14). The value obtained for the density of states at the Fermi level is 0.000 states/eV/atom.

Quantum ESPRESSO input file:
```
&SYSTEM
  ibrav = 0, nat = 40, ntyp = 3
/
ATOMIC_SPECIES
Cs 132.91 Cs.upf
Zn 65.41 Zn.upf
O 16.00 O.upf
CELL_PARAMETERS angstrom
10.0213 0.0000 0.0000
0.0000 6.7339 0.0000
-7.6832 0.0000 14.8236
ATOMIC_POSITIONS crystal
Cs 0.0721 0.0790 0.1209
Cs 0.0721 0.4210 0.6209
Cs 0.1741 0.5897 0.2576
Cs 0.1741 0.9103 0.7576
Cs 0.3533 0.6724 0.5240
Cs 0.3533 0.8276 0.0240
Cs 0.4250 0.1319 0.6617
Cs 0.4250 0.3681 0.1617
Cs 0.5750 0.6319 0.8383
Cs 0.5750 0.8681 0.3383
Cs 0.6467 0.1724 0.9760
Cs 0.6467 0.3276 0.4760
Cs 0.8259 0.0897 0.2424
Cs 0.8259 0.4103 0.7424
Cs 0.9279 0.5790 0.3791
Cs 0.9279 0.9210 0.8791
Zn 0.0863 0.0548 0.4609
Zn 0.0863 0.4452 0.9609
Zn 0.2552 0.1344 0.3732
Zn 0.2552 0.3656 0.8732
Zn 0.7448 0.6344 0.1268
Zn 0.7448 0.8656 0.6268
Zn 0.9137 0.5548 0.0391
Zn 0.9137 0.9452 0.5391
O 0.1214 0.5884 0.8626
O 0.1214 0.9116 0.3626
O 0.1309 0.6179 0.0702
O 0.1309 0.8821 0.5702
O 0.2310 0.2242 0.9696
O 0.2310 0.2758 0.4696
O 0.3553 0.1959 0.3055
O 0.3553 0.3041 0.8055
O 0.6447 0.6959 0.1945
O 0.6447 0.8041 0.6945
O 0.7690 0.7242 0.5304
O 0.7690 0.7758 0.0304
O 0.8691 0.1179 0.4298
O 0.8691 0.3821 0.9298
O 0.8786 0.0884 0.6374
O 0.8786 0.4116 0.1374
```


| no. | total DFT energy (no corrections) (eV/atom) |
| --- | --- |
| 1 | -4.12 |
| 2 | -5.69 |
| 3 | -3.84 |